Record 1
VASP calculation (PBE-GGA) on a geometry-optimized GaCuTcI2 structure.

Unit cell a=5.494 b=5.494 c=4.652 alpha=90.00 beta=90.00 gamma=90.00
Fractional positions:
1 Ga 0.000 0.000 0.000
2 Cu 0.000 0.000 0.500
3 Tc 0.500 0.500 0.000
4 I 0.000 0.500 0.500
5 I 0.500 0.000 0.500

Results
Polymorph energy (0 for the lowest one) = 61 meV/atom
Uncorrected energy = -3.160 eV/atom
M_tot = 3.975 μB per cell
Crystal system = tetragonal

=====

Record 2
VASP calculation (PBE-GGA) on a geometry-optimized RbPaTe2 structure.

Unit cell a=9.319 b=9.319 c=9.319 alpha=27.36 beta=27.36 gamma=27.36
Fractional positions:
1 Rb 0.000 0.000 0.000
2 Pa 0.169 0.169 0.169
3 Te 0.571 0.571 0.571
4 Te 0.767 0.767 0.767

Results
Uncorrected energy = -5.080 eV/atom
M_tot = 1.990 μB per cell
Crystal system = trigonal

=====

Record 3
VASP calculation (PBE-GGA) on a geometry-optimized FeTeRu2 structure.

Unit cell a=4.427 b=4.427 c=4.427 alpha=60.00 beta=60.00 gamma=60.00
Fractional positions:
1 Fe 0.000 0.000 0.000
2 Te 0.250 0.250 0.250
3 Ru 0.500 0.500 0.500
4 Ru 0.750 0.750 0.750

Results
Uncorrected energy = -7.087 eV/atom
M_tot = 3.324 μB per cell
Crystal system = cubic

=====

Record 4
VASP calculation (PBE-GGA) on a geometry-optimized Li3DyU3Se8 structure.

Unit cell a=8.046 b=8.046 c=8.046 alpha=60.77 beta=60.77 gamma=60.77
Fractional positions:
1 Li 0.000 0.500 0.500
2 Li 0.500 0.000 0.500
3 Li 0.500 0.500 0.000
4 Dy 0.500 0.500 0.500
5 U 0.000 0.000 0.500
6 U 0.000 0.500 0.000
7 U 0.500 0.000 0.000
8 Se 0.250 0.250 0.749
9 Se 0.250 0.749 0.250
10 Se 0.251 0.750 0.750
11 Se 0.253 0.253 0.253
12 Se 0.747 0.747 0.747
13 Se 0.749 0.250 0.250
14 Se 0.750 0.251 0.750
15 Se 0.750 0.750 0.251

Results
Uncorrected energy = -6.108 eV/atom
M_tot = 8.002 μB per cell
Crystal system = trigonal

=====

no.,formation energy (no corrections) (eV/atom)
1,0.958
2,-0.894
3,0.452
4,-1.303